No. 1
The following is a DFT calculation (GGA-PBEsol) of crystalline SiNi2Au at its relaxed geometry.

Properties
**Uncorrected energy**: -22.840 eV/f.u.
**Spin magnetization**: 0.00 μB per cell
**DOS at the Fermi energy**: 2.55 states/eV per cell

Unit cell a=2.797 b=4.017 c=4.440 alpha=90.00 beta=90.00 gamma=90.00
Fractional positions:
Si1 0.000 0.000 0.000
Ni1 0.500 0.000 0.422
Ni2 0.500 0.500 0.101
Au1 0.000 0.500 0.611



No. 2
The following is a DFT calculation (GGA-PBEsol) of crystalline ZnInFe2 at its relaxed geometry.

Properties
**Calculated formation energy**: 182 meV/atom
**Spin magnetization**: 4.43 μB per cell
**DOS at the Fermi energy**: 3.02 states/eV per cell

Unit cell a=3.759 b=3.759 c=3.904 alpha=90.00 beta=90.00 gamma=90.00
Fractional positions:
Zn1 0.000 0.000 0.000
In1 0.500 0.500 0.000
Fe1 0.000 0.500 0.500
Fe2 0.500 0.000 0.500



No. 3
The following is a DFT calculation (GGA-PBEsol) of crystalline MgSc at its relaxed geometry.

Properties
**Calculated formation energy**: 23 meV/atom
**Spin magnetization**: 0.00 μB per cell
**DOS at the Fermi energy**: 5.03 states/eV per cell

Unit cell a=3.238 b=3.238 c=10.268 alpha=90.00 beta=90.00 gamma=120.00
Fractional positions:
Mg1 0.000 0.000 0.000
Mg2 0.000 0.000 0.500
Sc1 0.333 0.667 0.250
Sc2 0.667 0.333 0.750



No. 4
The following is a DFT calculation (GGA-PBEsol) of crystalline TiCoOF2 at its relaxed geometry.

Properties
**Uncorrected energy**: -33.282 eV/f.u.
**Spin magnetization**: 1.32 μB per cell
**DOS at the Fermi energy**: 4.48 states/eV per cell

Unit cell a=3.947 b=3.947 c=3.830 alpha=90.00 beta=90.00 gamma=90.00
Fractional positions:
Ti1 0.000 0.000 0.000
Co1 0.500 0.500 0.500
O1 0.000 0.000 0.500
F1 0.000 0.500 0.000
F2 0.500 0.000 0.000



> What is the DOS at the Fermi energy in the fourth record?

4.48 states/eV per cell